Entry 1:
{
  "formula": "LiMg2In5Sn",
  "functional": "PBE",
  "state": "optimized geometry",
  "cell": [[7.2064, 0.0000, 0.0000], [0.0000, 7.2064, 0.0000], [0.0000, 0.0000, 8.9673]],
  "species": ["Li", "Li", "Mg", "Mg", "Mg", "Mg", "In", "In", "In", "In", "In", "In", "In", "In", "In", "In", "Sn", "Sn"],
  "frac_coords": [[0.0000, 0.5000, 0.0000], [0.5000, 0.0000, 0.0000], [0.1366, 0.3634, 0.5000], [0.3634, 0.8634, 0.5000], [0.6366, 0.1366, 0.5000], [0.8634, 0.6366, 0.5000], [0.0000, 0.0000, 0.5000], [0.1883, 0.6883, 0.2318], [0.1883, 0.6883, 0.7682], [0.3117, 0.1883, 0.2318], [0.3117, 0.1883, 0.7682], [0.5000, 0.5000, 0.5000], [0.6883, 0.8117, 0.2318], [0.6883, 0.8117, 0.7682], [0.8117, 0.3117, 0.2318], [0.8117, 0.3117, 0.7682], [0.0000, 0.0000, 0.0000], [0.5000, 0.5000, 0.0000]],
  "e_form_ev_per_atom": 0.03
}

***

Entry 2:
{
  "formula": "LiPmSiPt",
  "functional": "PBE",
  "state": "optimized geometry",
  "cell": [[0.0000, 3.2911, 3.2911], [3.2911, 0.0000, 3.2911], [3.2911, 3.2911, 0.0000]],
  "species": ["Li", "Pm", "Si", "Pt"],
  "frac_coords": [[0.0000, 0.0000, 0.0000], [0.2500, 0.2500, 0.2500], [0.7500, 0.7500, 0.7500], [0.5000, 0.5000, 0.5000]],
  "formation_energy_uncorrected_ev_per_atom": -0.734,
  "polymorph_energy_kj_per_mol_atoms": 7.0
}

***

Entry 3:
{
  "formula": "AlSBr2",
  "functional": "PBE",
  "state": "optimized geometry",
  "cell": [[1.8879, 1.0900, 9.4433], [-1.8879, 1.0900, 9.4433], [0.0000, -2.1800, 9.4433]],
  "species": ["Al", "S", "Br", "Br"],
  "frac_coords": [[0.0000, 0.0000, 0.0000], [0.5000, 0.5000, 0.5000], [0.0798, 0.0798, 0.0798], [0.9202, 0.9202, 0.9202]],
  "formation_energy_uncorrected_ev_per_atom": 0.432,
  "polymorph_energy_kj_per_mol_atoms": 75.1
}

***

Entry 4:
{
  "formula": "PdAuC2N",
  "functional": "PBE",
  "state": "optimized geometry",
  "cell": [[3.8454, 0.0000, 0.0000], [0.0000, 3.8454, 0.0000], [0.0000, 0.0000, 4.0170]],
  "species": ["Pd", "Au", "C", "C", "N"],
  "frac_coords": [[0.0000, 0.0000, 0.0000], [0.5000, 0.5000, 0.0000], [0.0000, 0.5000, 0.5000], [0.5000, 0.0000, 0.5000], [0.0000, 0.0000, 0.5000]],
  "formation_energy_uncorrected_ev_per_atom": 2.467
}

***

Entry 5:
{
  "formula": "NaFe",
  "functional": "PBE",
  "state": "optimized geometry",
  "cell": [[0.0000, 2.8542, 2.8542], [2.8542, 0.0000, 2.8542], [2.8542, 2.8542, 0.0000]],
  "species": ["Na", "Fe"],
  "frac_coords": [[0.0000, 0.0000, 0.0000], [0.5000, 0.5000, 0.5000]],
  "e_form_ev_per_atom": 1.57
}

***

Entry 6:
{
  "formula": "LiTcPS2",
  "functional": "PBE",
  "state": "optimized geometry",
  "cell": [[4.3574, 0.0000, 0.0000], [0.0000, 4.3574, 0.0000], [0.0000, 0.0000, 4.2355]],
  "species": ["Li", "Tc", "P", "S", "S"],
  "frac_coords": [[0.0000, 0.0000, 0.0000], [0.5000, 0.5000, 0.5000], [0.0000, 0.0000, 0.5000], [0.0000, 0.5000, 0.0000], [0.5000, 0.0000, 0.0000]],
  "formation_energy_uncorrected_ev_per_atom": 0.910,
  "polymorph_energy_kj_per_mol_atoms": 79.9
}

***

Entry 7:
{
  "formula": "Y2Ho4Sc5",
  "functional": "PBE",
  "state": "optimized geometry",
  "cell": [[10.4723, -1.7776, 0.0000], [10.4723, 1.7776, 0.0000], [-2.1293, 0.0000, 8.3876]],
  "species": ["Y", "Y", "Ho", "Ho", "Ho", "Ho", "Sc", "Sc", "Sc", "Sc", "Sc"],
  "frac_coords": [[0.1171, 0.1171, 0.4953], [0.8829, 0.8829, 0.5047], [0.1754, 0.1754, 0.9148], [0.4711, 0.4711, 0.2875], [0.5289, 0.5289, 0.7125], [0.8246, 0.8246, 0.0852], [0.0000, 0.0000, 0.0000], [0.2459, 0.2459, 0.3317], [0.3820, 0.3820, 0.8229], [0.6180, 0.6180, 0.1771], [0.7541, 0.7541, 0.6683]],
  "e_form_ev_per_atom": 0.05,
  "polymorph_energy_kj_per_mol_atoms": 0.0
}

***

Entry 8:
{
  "formula": "TcHBr4",
  "functional": "PBE",
  "state": "optimized geometry",
  "cell": [[3.0812, -9.0782, 0.0000], [3.0812, 9.0782, 0.0000], [-0.5929, 0.0000, 6.3750]],
  "species": ["Tc", "Tc", "H", "H", "Br", "Br", "Br", "Br", "Br", "Br", "Br", "Br"],
  "frac_coords": [[0.0459, 0.9541, 0.7500], [0.9541, 0.0459, 0.2500], [0.3580, 0.6420, 0.2500], [0.6420, 0.3580, 0.7500], [0.0943, 0.3925, 0.1179], [0.1860, 0.2879, 0.6010], [0.2879, 0.1860, 0.1010], [0.3925, 0.0943, 0.6179], [0.6075, 0.9057, 0.3821], [0.7121, 0.8140, 0.8990], [0.8140, 0.7121, 0.3990], [0.9057, 0.6075, 0.8821]]
}

***

Entry 9:
{
  "formula": "Y3CdO",
  "functional": "PBE",
  "state": "optimized geometry",
  "cell": [[10.5294, -1.9152, 0.0000], [10.5294, 1.9152, 0.0000], [-2.1364, 0.0000, 6.9814]],
  "species": ["Y", "Y", "Y", "Y", "Y", "Y", "Cd", "Cd", "O", "O"],
  "frac_coords": [[0.0325, 0.0325, 0.3177], [0.1597, 0.1597, 0.8191], [0.3057, 0.3057, 0.6654], [0.6943, 0.6943, 0.3346], [0.8403, 0.8403, 0.1809], [0.9675, 0.9675, 0.6823], [0.4291, 0.4291, 0.9858], [0.5709, 0.5709, 0.0142], [0.0640, 0.0640, 0.6236], [0.9360, 0.9360, 0.3764]],
  "formation_energy_uncorrected_ev_per_atom": -1.033,
  "polymorph_energy_kj_per_mol_atoms": 29.3
}

***

Entry 10:
{
  "formula": "Sr3BeSb",
  "functional": "PBE",
  "state": "optimized geometry",
  "cell": [[5.6782, 0.0000, 0.0000], [0.0000, 5.6782, 0.0000], [0.0000, 0.0000, 5.6782]],
  "species": ["Sr", "Sr", "Sr", "Be", "Sb"],
  "frac_coords": [[0.0000, 0.0000, 0.5000], [0.0000, 0.5000, 0.0000], [0.5000, 0.0000, 0.0000], [0.0000, 0.0000, 0.0000], [0.5000, 0.5000, 0.5000]],
  "formation_energy_uncorrected_ev_per_atom": -0.012,
  "polymorph_energy_kj_per_mol_atoms": 0.0
}

***

Entry 11:
{
  "formula": "Li3Mn5I12",
  "functional": "PBE",
  "state": "optimized geometry",
  "cell": [[-8.9525, 8.9525, 8.9525], [8.9525, -8.9525, 8.9525], [8.9525, 8.9525, -8.9525]],
  "species": ["Li", "Li", "Li", "Li", "Li", "Li", "Li", "Li", "Li", "Li", "Li", "Li", "Mn", "Mn", "Mn", "Mn", "Mn", "Mn", "Mn", "Mn", "Mn", "Mn", "Mn", "Mn", "Mn", "Mn", "Mn", "Mn", "Mn", "Mn", "Mn", "Mn", "I", "I", "I", "I", "I", "I", "I", "I", "I", "I", "I", "I", "I", "I", "I", "I", "I", "I", "I", "I", "I", "I", "I", "I", "I", "I", "I", "I", "I", "I", "I", "I", "I", "I", "I", "I", "I", "I", "I", "I", "I", "I", "I", "I", "I", "I", "I", "I"],
  "frac_coords": [[0.1250, 0.2500, 0.3750], [0.1250, 0.3750, 0.7500], [0.2500, 0.3750, 0.1250], [0.2500, 0.8750, 0.6250], [0.3750, 0.1250, 0.2500], [0.3750, 0.7500, 0.1250], [0.6250, 0.2500, 0.8750], [0.6250, 0.8750, 0.7500], [0.7500, 0.1250, 0.3750], [0.7500, 0.6250, 0.8750], [0.8750, 0.6250, 0.2500], [0.8750, 0.7500, 0.6250], [0.0000, 0.0000, 0.0000], [0.0000, 0.0000, 0.5000], [0.0000, 0.5000, 0.0000], [0.0000, 0.5000, 0.5000], [0.1250, 0.7500, 0.8750], [0.1250, 0.8750, 0.2500], [0.2500, 0.1250, 0.8750], [0.2500, 0.6250, 0.3750], [0.3750, 0.2500, 0.6250], [0.3750, 0.6250, 0.7500], [0.5000, 0.0000, 0.0000], [0.5000, 0.0000, 0.5000], [0.5000, 0.5000, 0.0000], [0.5000, 0.5000, 0.5000], [0.6250, 0.3750, 0.2500], [0.6250, 0.7500, 0.3750], [0.7500, 0.3750, 0.6250], [0.7500, 0.8750, 0.1250], [0.8750, 0.1250, 0.7500], [0.8750, 0.2500, 0.1250], [0.0303, 0.2082, 0.1223], [0.0303, 0.3221, 0.9080], [0.0859, 0.7082, 0.6779], [0.0859, 0.8777, 0.4080], [0.0920, 0.6223, 0.4141], [0.0920, 0.9697, 0.6779], [0.1223, 0.0303, 0.2082], [0.1223, 0.5920, 0.9141], [0.1779, 0.2082, 0.5859], [0.1779, 0.4697, 0.5920], [0.2082, 0.1223, 0.0303], [0.2082, 0.5859, 0.1779], [0.2918, 0.3221, 0.9141], [0.2918, 0.4697, 0.3777], [0.3221, 0.9080, 0.0303], [0.3221, 0.9141, 0.2918], [0.3777, 0.2918, 0.4697], [0.3777, 0.5859, 0.9080], [0.4080, 0.0859, 0.8777], [0.4080, 0.8221, 0.5303], [0.4141, 0.0920, 0.6223], [0.4141, 0.8221, 0.7918], [0.4697, 0.3777, 0.2918], [0.4697, 0.5920, 0.1779], [0.5303, 0.4080, 0.8221], [0.5303, 0.6223, 0.7082], [0.5859, 0.1779, 0.2082], [0.5859, 0.9080, 0.3777], [0.5920, 0.1779, 0.4697], [0.5920, 0.9141, 0.1223], [0.6223, 0.4141, 0.0920], [0.6223, 0.7082, 0.5303], [0.6779, 0.0859, 0.7082], [0.6779, 0.0920, 0.9697], [0.7082, 0.5303, 0.6223], [0.7082, 0.6779, 0.0859], [0.7918, 0.4141, 0.8221], [0.7918, 0.8777, 0.9697], [0.8221, 0.5303, 0.4080], [0.8221, 0.7918, 0.4141], [0.8777, 0.4080, 0.0859], [0.8777, 0.9697, 0.7918], [0.9080, 0.0303, 0.3221], [0.9080, 0.3777, 0.5859], [0.9141, 0.1223, 0.5920], [0.9141, 0.2918, 0.3221], [0.9697, 0.6779, 0.0920], [0.9697, 0.7918, 0.8777]],
  "formation_energy_uncorrected_ev_per_atom": -0.491
}

***

Entry 12:
{
  "formula": "Sr2PdBr",
  "functional": "PBE",
  "state": "optimized geometry",
  "cell": [[2.1830, 1.2604, 8.0208], [-2.1830, 1.2604, 8.0208], [0.0000, -2.5207, 8.0208]],
  "species": ["Sr", "Sr", "Pd", "Br"],
  "frac_coords": [[0.2379, 0.2379, 0.2379], [0.7621, 0.7621, 0.7621], [0.5000, 0.5000, 0.5000], [0.0000, 0.0000, 0.0000]],
  "formation_energy_uncorrected_ev_per_atom": -1.093,
  "polymorph_energy_kj_per_mol_atoms": 0.0
}

***

Entry 13:
{
  "formula": "Li3Al2Au4",
  "functional": "PBE",
  "state": "optimized geometry",
  "cell": [[3.9068, -2.1545, 0.0000], [3.9068, 2.1545, 0.0000], [-0.3885, 0.0000, 8.3792]],
  "species": ["Li", "Li", "Li", "Al", "Al", "Au", "Au", "Au", "Au"],
  "frac_coords": [[0.0000, 0.0000, 0.0000], [0.3351, 0.3351, 0.4424], [0.6649, 0.6649, 0.5576], [0.3324, 0.3324, 0.7881], [0.6676, 0.6676, 0.2119], [0.0038, 0.0038, 0.3306], [0.3344, 0.3344, 0.1114], [0.6656, 0.6656, 0.8886], [0.9962, 0.9962, 0.6694]],
  "e_form_ev_per_atom": -0.54,
  "polymorph_energy_kj_per_mol_atoms": 0.0
}

***

Entry 14:
{
  "formula": "ZnCo2W2",
  "functional": "PBE",
  "state": "optimized geometry",
  "cell": [[7.1318, 0.0000, 0.0000], [0.0000, 7.1318, 0.0000], [0.0000, 0.0000, 2.7177]],
  "species": ["Zn", "Zn", "Co", "Co", "Co", "Co", "W", "W", "W", "W"],
  "frac_coords": [[0.0000, 0.0000, 0.0000], [0.5000, 0.5000, 0.0000], [0.1242, 0.3758, 0.0000], [0.3758, 0.8758, 0.0000], [0.6242, 0.1242, 0.0000], [0.8758, 0.6242, 0.0000], [0.1697, 0.6697, 0.5000], [0.3303, 0.1697, 0.5000], [0.6697, 0.8303, 0.5000], [0.8303, 0.3303, 0.5000]],
  "e_form_ev_per_atom": 0.18
}

***

Entry 15:
{
  "formula": "BaTlIr2",
  "functional": "PBE",
  "state": "optimized geometry",
  "cell": [[3.5161, 0.0000, 0.0000], [0.0000, 3.8294, 0.0000], [-1.7535, 0.0000, 7.6136]],
  "species": ["Ba", "Tl", "Ir", "Ir"],
  "frac_coords": [[0.0000, 0.0000, 0.0000], [0.3355, 0.5000, 0.6489], [0.3803, 0.0000, 0.3828], [0.7765, 0.5000, 0.3150]],
  "e_form_ev_per_atom": 0.23
}

***

Entry 16:
{
  "formula": "Eu4Au2S",
  "functional": "PBE",
  "state": "optimized geometry",
  "cell": [[-2.7739, 2.7739, 7.5357], [2.7739, -2.7739, 7.5357], [2.7739, 2.7739, -7.5357]],
  "species": ["Eu", "Eu", "Eu", "Eu", "Au", "Au", "S"],
  "frac_coords": [[0.0000, 0.5000, 0.5000], [0.1942, 0.1942, 0.0000], [0.5000, 0.0000, 0.5000], [0.8058, 0.8058, 0.0000], [0.3951, 0.3951, 0.0000], [0.6049, 0.6049, 0.0000], [0.0000, 0.0000, 0.0000]],
  "formation_energy_uncorrected_ev_per_atom": -0.865
}

***

Entry 17:
{
  "formula": "KPa2ZnN5",
  "functional": "PBE",
  "state": "optimized geometry",
  "cell": [[-3.3377, 3.3377, 5.8191], [3.3377, -3.3377, 5.8191], [3.3377, 3.3377, -5.8191]],
  "species": ["K", "K", "Pa", "Pa", "Pa", "Pa", "Zn", "Zn", "N", "N", "N", "N", "N", "N", "N", "N", "N", "N"],
  "frac_coords": [[0.2500, 0.2500, 0.0000], [0.7500, 0.7500, 0.0000], [0.1743, 0.6743, 0.8486], [0.3257, 0.1743, 0.5000], [0.6743, 0.8257, 0.5000], [0.8257, 0.3257, 0.1514], [0.2500, 0.7500, 0.5000], [0.7500, 0.2500, 0.5000], [0.0000, 0.0000, 0.0000], [0.0242, 0.2413, 0.5000], [0.2413, 0.7413, 0.2170], [0.2587, 0.4758, 0.5000], [0.4758, 0.9758, 0.2170], [0.5000, 0.5000, 0.0000], [0.5242, 0.0242, 0.7830], [0.7413, 0.5242, 0.5000], [0.7587, 0.2587, 0.7830], [0.9758, 0.7587, 0.5000]],
  "formation_energy_uncorrected_ev_per_atom": -0.689
}

***

Entry 18:
{
  "formula": "Pr3SiP2Rh9",
  "functional": "PBE",
  "state": "optimized geometry",
  "cell": [[6.5440, 0.0000, 0.0000], [-3.2720, 5.6673, 0.0000], [0.0000, 0.0000, 7.4251]],
  "species": ["Pr", "Pr", "Pr", "Si", "P", "P", "Rh", "Rh", "Rh", "Rh", "Rh", "Rh", "Rh", "Rh", "Rh"],
  "frac_coords": [[0.0000, 0.0000, 0.0000], [0.3333, 0.6667, 0.6663], [0.6667, 0.3333, 0.3337], [0.0000, 0.0000, 0.5000], [0.3333, 0.6667, 0.1618], [0.6667, 0.3333, 0.8382], [0.0000, 0.5000, 0.0000], [0.1715, 0.3429, 0.3350], [0.1715, 0.8285, 0.3350], [0.3429, 0.1715, 0.6650], [0.5000, 0.0000, 0.0000], [0.5000, 0.5000, 0.0000], [0.6571, 0.8285, 0.3350], [0.8285, 0.1715, 0.6650], [0.8285, 0.6571, 0.6650]],
  "formation_energy_uncorrected_ev_per_atom": -0.666
}

***

Entry 19:
{
  "formula": "RbLaMgS3",
  "functional": "PBE",
  "state": "optimized geometry",
  "cell": [[9.2191, 0.0000, 0.0000], [0.0000, 4.2967, 0.0000], [-2.5531, 0.0000, 9.6277]],
  "species": ["Rb", "Rb", "La", "La", "Mg", "Mg", "S", "S", "S", "S", "S", "S"],
  "frac_coords": [[0.1906, 0.2500, 0.2126], [0.8094, 0.7500, 0.7874], [0.3379, 0.7500, 0.8530], [0.6621, 0.2500, 0.1470], [0.0843, 0.2500, 0.6036], [0.9157, 0.7500, 0.3964], [0.1247, 0.2500, 0.8520], [0.1817, 0.7500, 0.5348], [0.4541, 0.7500, 0.1460], [0.5459, 0.2500, 0.8540], [0.8183, 0.2500, 0.4652], [0.8753, 0.7500, 0.1480]],
  "formation_energy_uncorrected_ev_per_atom": -1.697
}

***

Entry 20:
{
  "formula": "VSnOs",
  "functional": "PBE",
  "state": "optimized geometry",
  "cell": [[4.4047, 0.0000, 0.0000], [-2.2023, 3.8146, 0.0000], [0.0000, 0.0000, 2.9362]],
  "species": ["V", "Sn", "Os"],
  "frac_coords": [[0.0000, 0.0000, 0.0000], [0.6667, 0.3333, 0.4252], [0.3333, 0.6667, 0.6672]],
  "e_form_ev_per_atom": 0.30
}

***

| no. | uncorrected energy (eV per atom) | spin magnetization (μB/atom) |
| --- | --- | --- |
| 1 | -2.503 | 0.000 |
| 2 | -5.266 | 0.000 |
| 3 | -2.372 | 0.261 |
| 4 | -4.582 | 0.000 |
| 5 | -3.325 | 1.553 |
| 6 | -4.279 | 0.448 |
| 7 | -5.663 | 0.000 |
| 8 | -3.664 | 0.333 |
| 9 | -6.086 | 0.000 |
| 10 | -2.591 | 0.000 |
| 11 | -4.000 | 1.200 |
| 12 | -3.651 | 0.000 |
| 13 | -3.463 | 0.000 |
| 14 | -8.097 | 0.000 |
| 15 | -5.277 | 0.000 |
| 16 | -8.262 | 0.047 |
| 17 | -7.688 | 0.065 |
| 18 | -7.116 | 0.000 |
| 19 | -5.009 | 0.000 |
| 20 | -7.818 | 0.000 |